Record 1
## TaZn (GGA-PBE)

Data for crystalline TaZn at its relaxed geometry.

Unit cell a=2.8388 b=2.8388 c=4.0053 alpha=90.00 beta=90.00 gamma=90.00
Space group P4/mmm (No. 123)
Unique sites:
Ta1 0.0000 0.0000 0.0000 (multiplicity 1)
Zn1 0.5000 0.5000 0.5000 (multiplicity 1)

Formation energy in kJ/mol of atoms: 2.45


Record 2
## ZrTaZn2 (GGA-PBE)

Data for crystalline ZrTaZn2 at its relaxed geometry.

Unit cell a=5.9035 b=5.9422 c=7.8920 alpha=90.00 beta=90.00 gamma=90.00
Space group Fmmm (No. 69)
Unique sites:
Zr1 0.0000 0.0000 0.0000 (multiplicity 4)
Ta1 0.0000 0.0000 0.5000 (multiplicity 4)
Zn1 0.2500 0.2500 0.2500 (multiplicity 8)

Formation energy in kJ/mol of atoms: -7.08


The lowest formation energy belongs to which entry?
ZrTaZn2